Entry 1:
Here is a relaxed structure of AlSiW2S from Alexandria via LeMat-Bulk. Energies are from PBE.

Cell lengths 4.4595, 4.3152, 4.4595 Å; angles 90.00, 90.00, 90.00 degrees
Last column: nearest neighbours and their distance in Å.
Element x y z (fractional)
Al 0.0000 0.5000 0.0000  2 S 2.16
W 0.5000 0.0000 0.0000  2 S 2.23
S 0.0000 0.0000 0.0000  2 Al 2.16, 4 W 2.23
W 0.0000 0.0000 0.5000  2 S 2.23
Si 0.5000 0.5000 0.5000  8 W 3.10, 4 Al 3.15

The formation energy without anion corrections comes out at 1.118 eV per atom. For the total magnetization, the calculation gives 0.000 μB/f.u.



Entry 2:
Here is a relaxed structure of BaInAs2 from Alexandria via LeMat-Bulk. Energies are from PBE.

Cell lengths 6.3013, 6.3013, 6.3013 Å; angles 144.86, 127.44, 64.80 degrees
Last column: nearest neighbours and their distance in Å.
Element x y z (fractional)
In 0.2194 0.7194 0.5000  6 As 3.23-3.49, 4 Ba 3.58-3.61
As 0.9742 0.9742 0.0000  2 As 2.64
Ba 0.5047 0.5047 0.0000  8 As 3.39-3.69, 4 In 3.58-3.61
As 0.8016 0.3016 0.5000  2 As 2.64

For the total magnetization, the calculation gives 0.000 μB/f.u. The formation energy comes out at -35.0 kJ per mole of atoms.



Entry 3:
Here is a relaxed structure of Na12GaSn7 from Alexandria via LeMat-Bulk. Energies are from PBE.

Cell lengths 8.5647, 8.5647, 8.5647 Å; angles 103.43, 103.43, 103.43 degrees
Last column: nearest neighbours and their distance in Å.
Element x y z (fractional)
Na 0.2392 0.7487 0.4801  4 Sn 3.30-3.43, 6 Na 3.39-3.58
Sn 0.3074 0.9283 0.8965  1 Ga 3.11, 3 Sn 3.15-3.22, 5 Na 3.30-3.39
Na 0.0847 0.3034 0.3455  1 Ga 3.25, 6 Na 3.26-3.58, 4 Sn 3.34-3.57
Na 0.4801 0.2392 0.7487  4 Sn 3.30-3.43, 6 Na 3.39-3.58
Ga 0.0000 0.0000 0.0000  6 Sn 3.11, 6 Na 3.25
Na 0.2513 0.5199 0.7608  4 Sn 3.30-3.43, 6 Na 3.39-3.58
Na 0.5199 0.7608 0.2513  4 Sn 3.30-3.43, 6 Na 3.39-3.58
Sn 0.5000 0.5000 0.5000  12 Na 3.35-3.43
Sn 0.0717 0.1035 0.6926  1 Ga 3.11, 3 Sn 3.15-3.22, 5 Na 3.30-3.39
Sn 0.8965 0.3074 0.9283  1 Ga 3.11, 3 Sn 3.15-3.22, 5 Na 3.30-3.39
Na 0.3034 0.3455 0.0847  1 Ga 3.25, 6 Na 3.26-3.58, 4 Sn 3.34-3.57
Sn 0.9283 0.8965 0.3074  1 Ga 3.11, 3 Sn 3.15-3.22, 5 Na 3.30-3.39
Na 0.7608 0.2513 0.5199  4 Sn 3.30-3.43, 6 Na 3.39-3.58
Sn 0.1035 0.6926 0.0717  1 Ga 3.11, 3 Sn 3.15-3.22, 5 Na 3.30-3.39
Na 0.6966 0.6545 0.9153  1 Ga 3.25, 6 Na 3.26-3.58, 4 Sn 3.34-3.57
Na 0.6545 0.9153 0.6966  1 Ga 3.25, 6 Na 3.26-3.58, 4 Sn 3.34-3.57
Na 0.9153 0.6966 0.6545  1 Ga 3.25, 6 Na 3.26-3.58, 4 Sn 3.34-3.57
Sn 0.6926 0.0717 0.1035  1 Ga 3.11, 3 Sn 3.15-3.22, 5 Na 3.30-3.39
Na 0.3455 0.0847 0.3034  1 Ga 3.25, 6 Na 3.26-3.58, 4 Sn 3.34-3.57
Na 0.7487 0.4801 0.2392  4 Sn 3.30-3.43, 6 Na 3.39-3.58

For the total magnetization, the calculation gives 0.000 μB/f.u. The formation energy comes out at -11.9 kJ per mole of atoms.



Entry 4:
Here is a relaxed structure of NaPrIn from Alexandria via LeMat-Bulk. Energies are from PBE.

Cell lengths 3.5282, 3.5282, 7.9104 Å; angles 102.89, 102.89, 90.00 degrees
Last column: nearest neighbours and their distance in Å.
Element x y z (fractional)
In 0.9501 0.9501 0.9003  4 Pr 3.34, 4 Na 3.34, 4 In 3.53
Na 0.3017 0.3017 0.6035  4 In 3.34, 4 Na 3.53
Pr 0.5981 0.5981 0.1963  4 In 3.34, 4 Pr 3.53

For the total magnetization, the calculation gives 0.000 μB/f.u. The formation energy comes out at -9.0 kJ per mole of atoms. Its energy relative to the lowest polymorph listed for this composition is 7.0 kJ per mole of atoms.



Entry 5:
Here is a relaxed structure of KRbICl from Alexandria via LeMat-Bulk. Energies are from PBE.

Cell lengths 5.9481, 5.9481, 5.9481 Å; angles 60.00, 60.00, 60.00 degrees
Last column: nearest neighbours and their distance in Å.
Element x y z (fractional)
Rb 0.0000 0.0000 0.0000  4 I 3.64, 4 Cl 3.64
I 0.7500 0.7500 0.7500  4 K 3.64, 4 Rb 3.64
Cl 0.2500 0.2500 0.2500  4 Rb 3.64, 4 K 3.64
K 0.5000 0.5000 0.5000  4 Cl 3.64, 4 I 3.64

The formation energy without anion corrections comes out at -1.612 eV per atom. For the total magnetization, the calculation gives 0.000 μB/f.u.



Entry 6:
Here is a relaxed structure of Tl7HgPb2 from Alexandria via LeMat-Bulk. Energies are from PBE.

Cell lengths 3.3936, 6.4383, 14.7429 Å; angles 102.61, 90.00, 90.00 degrees
Last column: nearest neighbours and their distance in Å.
Element x y z (fractional)
Hg 0.0000 0.0000 0.0000  2 Hg 3.39, 12 Tl 3.64-3.68
Tl 0.5000 0.1461 0.8016  5 Tl 3.16-3.39, 1 Pb 3.40
Pb 0.5000 0.2972 0.5945  8 Tl 3.39-3.65, 2 Pb 3.39
Tl 0.5000 0.3445 0.1984  5 Tl 3.16-3.39, 1 Pb 3.40
Tl 0.5000 0.6555 0.8016  5 Tl 3.16-3.39, 1 Pb 3.40
Pb 0.5000 0.7028 0.4055  8 Tl 3.39-3.65, 2 Pb 3.39
Tl 0.0000 0.1953 0.3906  6 Pb 3.39-3.65, 6 Tl 3.39-3.61
Tl 0.5000 0.5000 0.0000  6 Tl 3.29-3.39, 4 Hg 3.64
Tl 0.0000 0.8047 0.6094  6 Pb 3.39-3.65, 6 Tl 3.39-3.61
Tl 0.5000 0.8539 0.1984  5 Tl 3.16-3.39, 1 Pb 3.40

For the total magnetization, the calculation gives 0.000 μB/f.u. The formation energy comes out at 5.2 kJ per mole of atoms. Its energy relative to the lowest polymorph listed for this composition is 0.0 kJ per mole of atoms.



Entry 7:
Here is a relaxed structure of U4PaO10 from Alexandria via LeMat-Bulk. Energies are from PBE.

Cell lengths 5.4360, 6.6576, 6.6576 Å; angles 80.41, 65.90, 65.90 degrees
Last column: nearest neighbours and their distance in Å.
Element x y z (fractional)
U 0.4007 0.7984 0.4002  8 O 2.35-2.36
O 0.5539 0.0984 0.2979  1 Pa 2.34, 3 U 2.36
U 0.1991 0.4002 0.2016  8 O 2.35-2.36
O 0.2500 0.5000 0.5000  4 U 2.35
O 0.1482 0.2979 0.9016  1 Pa 2.34, 3 U 2.36
U 0.8009 0.5998 0.7984  8 O 2.35-2.36
O 0.6523 0.2979 0.9016  1 Pa 2.34, 3 U 2.36
O 0.9502 0.9016 0.7021  1 Pa 2.34, 3 U 2.36
U 0.5993 0.2016 0.5998  8 O 2.35-2.36
O 0.3477 0.7021 0.0984  1 Pa 2.34, 3 U 2.36
O 0.8518 0.7021 0.0984  1 Pa 2.34, 3 U 2.36
O 0.7500 0.5000 0.5000  4 U 2.35
O 0.0498 0.0984 0.2979  1 Pa 2.34, 3 U 2.36
O 0.4461 0.9016 0.7021  1 Pa 2.34, 3 U 2.36
Pa 0.0000 0.0000 0.0000  8 O 2.34

The formation energy without anion corrections comes out at -3.348 eV per atom. For the total magnetization, the calculation gives 9.018 μB/f.u.



Entry 8:
Here is a relaxed structure of Li3U3MoN8 from Alexandria via LeMat-Bulk. Energies are from PBE.

Cell lengths 6.7078, 6.7076, 6.3574 Å; angles 121.85, 90.00, 120.00 degrees
Last column: nearest neighbours and their distance in Å.
Element x y z (fractional)
U 0.5000 0.0000 0.5000  6 N 2.23
Li 0.5000 0.5000 0.0000  6 N 2.40-2.42
N 0.2270 0.9753 0.7022  1 Mo 2.12, 2 U 2.23
N 0.7397 0.4794 0.7189  3 U 2.23, 3 Li 2.40
N 0.7483 0.9753 0.7022  1 Mo 2.12, 2 U 2.23
N 0.7730 0.5460 0.2978  1 Mo 2.12, 2 U 2.23
N 0.2517 0.0247 0.2978  1 Mo 2.12, 2 U 2.23
Mo 0.0000 0.0000 0.5000  6 N 2.12
N 0.2603 0.5206 0.2811  3 U 2.23, 3 Li 2.40
Li 0.0000 0.0000 0.0000  6 N 2.40-2.42
N 0.7730 0.0247 0.2978  1 Mo 2.12, 2 U 2.23
N 0.2270 0.4540 0.7022  1 Mo 2.12, 2 U 2.23
U 0.5000 0.5000 0.5000  6 N 2.23
U 0.0000 0.5000 0.5000  6 N 2.23
Li 0.0000 0.5000 0.0000  6 N 2.40-2.42

The formation energy without anion corrections comes out at -0.887 eV per atom. For the total magnetization, the calculation gives 1.970 μB/f.u.



Entry 9:
Here is a relaxed structure of Cs3Tl2Se4 from Alexandria via LeMat-Bulk. Energies are from PBE.

Cell lengths 8.5454, 9.6755, 9.6755 Å; angles 77.36, 85.53, 85.53 degrees
Last column: nearest neighbours and their distance in Å.
Element x y z (fractional)
Se 0.1018 0.2655 0.3963  2 Tl 2.77-2.82
Se 0.5124 0.0648 0.6951  2 Tl 2.81-2.82
Tl 0.9234 0.4173 0.1800  4 Se 2.77-2.82
Tl 0.4234 0.1800 0.4173  4 Se 2.77-2.82
Se 0.8982 0.7345 0.6037  2 Tl 2.77-2.82
Tl 0.0766 0.5827 0.8200  4 Se 2.77-2.82
Cs 0.5878 0.7422 0.0021  5 Se 3.69-3.86, 1 Tl 3.97
Tl 0.5766 0.8200 0.5827  4 Se 2.77-2.82
Se 0.6018 0.3963 0.2655  2 Tl 2.77-2.82
Cs 0.7500 0.3889 0.6111  6 Se 3.65-3.79
Cs 0.4122 0.2578 0.9979  5 Se 3.69-3.86, 1 Tl 3.97
Se 0.9876 0.3049 0.9352  2 Tl 2.81-2.82
Cs 0.0878 0.0021 0.7422  5 Se 3.69-3.86, 1 Tl 3.97
Se 0.4876 0.9352 0.3049  2 Tl 2.81-2.82
Cs 0.9122 0.9979 0.2578  5 Se 3.69-3.86, 1 Tl 3.97
Cs 0.2500 0.6111 0.3889  6 Se 3.65-3.79
Se 0.3982 0.6037 0.7345  2 Tl 2.77-2.82
Se 0.0124 0.6951 0.0648  2 Tl 2.81-2.82

The formation energy without anion corrections comes out at -0.785 eV per atom. For the total magnetization, the calculation gives 0.000 μB/f.u.



Entry 10:
Here is a relaxed structure of TiSi3H from Alexandria via LeMat-Bulk. Energies are from PBE.

Cell lengths 3.9088, 3.9088, 3.9088 Å; angles 90.00, 90.00, 90.00 degrees
Last column: nearest neighbours and their distance in Å.
Element x y z (fractional)
Si 0.5000 0.0000 0.0000  2 H 1.95
Si 0.0000 0.0000 0.5000  2 H 1.95
H 0.0000 0.0000 0.0000  6 Si 1.95
Si 0.0000 0.5000 0.0000  2 H 1.95
Ti 0.5000 0.5000 0.5000  12 Si 2.76

For the total magnetization, the calculation gives 0.000 μB/f.u. Its energy relative to the lowest polymorph listed for this composition is 0.0 kJ per mole of atoms.



Entry 11:
Here is a relaxed structure of FeRhSe2 from Alexandria via LeMat-Bulk. Energies are from PBE.

Cell lengths 4.5302, 4.5302, 4.5302 Å; angles 60.00, 60.00, 60.00 degrees
Last column: nearest neighbours and their distance in Å.
Element x y z (fractional)
Se 0.2500 0.2500 0.2500  4 Fe 2.77, 4 Se 2.77
Se 0.0000 0.0000 0.0000  4 Se 2.77, 4 Rh 2.77
Fe 0.5000 0.5000 0.5000  4 Rh 2.77, 4 Se 2.77
Rh 0.7500 0.7500 0.7500  4 Se 2.77, 4 Fe 2.77

The formation energy without anion corrections comes out at 0.497 eV per atom. For the total magnetization, the calculation gives 3.256 μB/f.u.



Entry 12:
Here is a relaxed structure of Na2CdGa3F12 from Alexandria via LeMat-Bulk. Energies are from PBE.

Cell lengths 7.1355, 7.1355, 7.1355 Å; angles 62.90, 62.90, 62.90 degrees
Last column: nearest neighbours and their distance in Å.
Element x y z (fractional)
F 0.5669 0.1296 0.1296  1 Ga 1.88
F 0.2796 0.8979 0.2796  2 Ga 1.96
F 0.2796 0.2796 0.8979  2 Ga 1.96
F 0.7204 0.1021 0.7204  2 Ga 1.96
F 0.1296 0.1296 0.5669  1 Ga 1.88
Na 0.3484 0.3484 0.3484  3 F 2.26
Na 0.6516 0.6516 0.6516  3 F 2.26
Ga 0.0000 0.5000 0.0000  6 F 1.88-1.96
F 0.1296 0.5669 0.1296  1 Ga 1.88
Ga 0.0000 0.0000 0.5000  6 F 1.88-1.96
F 0.4331 0.8704 0.8704  1 Ga 1.88
Ga 0.5000 0.0000 0.0000  6 F 1.88-1.96
F 0.7204 0.7204 0.1021  2 Ga 1.96
F 0.8704 0.4331 0.8704  1 Ga 1.88
F 0.8704 0.8704 0.4331  1 Ga 1.88
F 0.8979 0.2796 0.2796  2 Ga 1.96
Cd 0.0000 0.0000 0.0000  6 F 2.61
F 0.1021 0.7204 0.7204  2 Ga 1.96

The formation energy without anion corrections comes out at -2.481 eV per atom. For the total magnetization, the calculation gives 0.451 μB/f.u.



Look up the total magnetization of the tenth one. 0.000 μB/f.u.



Which value of total magnetization does entry 1 give? 0.000 μB/f.u.